# 1
Entry from Alexandria: TlCuGeS3 after structural relaxation (PBE).

Summary:
As for the symmetry: Cmcm, No. 63. For the spin magnetization, the calculation gives 0.00 μB/cell. As for the calculated density: 4.39 g cm⁻³. The uncorrected formation energy comes out at -139.8 kJ/mol of formula units. The volume is 27.52 Å³/atom. For the density of states at the Fermi level, the calculation gives 2.120 states/eV/cell.

Cell: 8.044 8.044 11.767 Å, 90.00 90.00 154.29°
Fractional positions:
Tl  0.200  0.800  0.750
Tl  0.800  0.200  0.250
Cu  0.000  0.000  0.000
Cu  0.000  0.000  0.500
Ge  0.494  0.506  0.750
Ge  0.506  0.494  0.250
S  0.098  0.902  0.250
S  0.423  0.577  0.095
S  0.423  0.577  0.405
S  0.577  0.423  0.595
S  0.577  0.423  0.905
S  0.902  0.098  0.750

=====

# 2
Entry from Alexandria: TmCuGe2S6 after structural relaxation (PBE).

Summary:
As for the symmetry: C2/c, No. 15. For the spin magnetization, the calculation gives 0.00 μB/cell. As for the calculated density: 4.17 g cm⁻³. The uncorrected formation energy comes out at -654.4 kJ/mol of formula units. The volume is 22.69 Å³/atom.

Cell: 8.574 8.574 6.592 Å, 104.57 104.57 85.06°
Fractional positions:
Tm  0.127  0.873  0.750
Tm  0.873  0.127  0.250
Cu  0.206  0.794  0.250
Cu  0.794  0.206  0.750
Ge  0.230  0.385  0.775
Ge  0.385  0.230  0.275
Ge  0.615  0.770  0.725
Ge  0.770  0.615  0.225
S  0.048  0.183  0.657
S  0.120  0.621  0.916
S  0.183  0.048  0.157
S  0.300  0.447  0.498
S  0.379  0.880  0.584
S  0.447  0.300  0.998
S  0.553  0.700  0.002
S  0.621  0.120  0.416
S  0.700  0.553  0.502
S  0.817  0.952  0.843
S  0.880  0.379  0.084
S  0.952  0.817  0.343

=====

# 3
Entry from Alexandria: Cu6GeWS8 after structural relaxation (PBE).

Summary:
As for the symmetry: P6_3mc, No. 186. For the spin magnetization, the calculation gives 0.00 μB/cell. As for the calculated density: 4.78 g cm⁻³. The uncorrected formation energy comes out at -610.7 kJ/mol of formula units. The volume is 19.42 Å³/atom.

Cell: 7.590 7.590 12.453 Å, 90.00 90.00 120.00°
Fractional positions:
Cu  0.006  0.503  0.000
Cu  0.161  0.323  0.752
Cu  0.161  0.839  0.752
Cu  0.323  0.161  0.252
Cu  0.497  0.503  0.000
Cu  0.497  0.994  0.000
Cu  0.503  0.006  0.500
Cu  0.503  0.497  0.500
Cu  0.677  0.839  0.752
Cu  0.839  0.161  0.252
Cu  0.839  0.677  0.252
Cu  0.994  0.497  0.500
Ge  0.000  0.000  0.499
Ge  0.000  0.000  0.999
W  0.333  0.667  0.628
W  0.667  0.333  0.128
S  0.000  0.000  0.182
S  0.000  0.000  0.682
S  0.007  0.504  0.688
S  0.165  0.329  0.937
S  0.165  0.835  0.937
S  0.329  0.165  0.437
S  0.333  0.667  0.446
S  0.496  0.504  0.688
S  0.496  0.993  0.688
S  0.504  0.007  0.188
S  0.504  0.496  0.188
S  0.667  0.333  0.946
S  0.671  0.835  0.937
S  0.835  0.165  0.437
S  0.835  0.671  0.437
S  0.993  0.496  0.188

=====

# 4
Entry from Alexandria: CuGe3Sb after structural relaxation (PBE).

Summary:
As for the symmetry: Pm-3m, No. 221. For the spin magnetization, the calculation gives 0.00 μB/cell. As for the calculated density: 6.18 g cm⁻³. The uncorrected formation energy comes out at 190.8 kJ/mol of formula units. The volume is 21.65 Å³/atom. Its energy above the most stable polymorph in this dataset is 0 meV/atom. For the density of states at the Fermi level, the calculation gives 3.124 states/eV/cell.

Cell: 4.766 4.766 4.766 Å, 90.00 90.00 90.00°
Fractional positions:
Cu  0.000  0.000  0.000
Ge  0.000  0.000  0.500
Ge  0.000  0.500  0.000
Ge  0.500  0.000  0.000
Sb  0.500  0.500  0.500

=====

# 5
Entry from Alexandria: Cu2GeSb2 after structural relaxation (PBE).

Summary:
As for the symmetry: P4/mbm, No. 127. For the spin magnetization, the calculation gives 0.00 μB/cell. As for the calculated density: 7.33 g cm⁻³. The uncorrected formation energy comes out at 127.6 kJ/mol of formula units. The volume is 20.09 Å³/atom. Its energy above the most stable polymorph in this dataset is 55 meV/atom. For the density of states at the Fermi level, the calculation gives 3.514 states/eV/cell.

Cell: 8.046 8.046 3.104 Å, 90.00 90.00 90.00°
Fractional positions:
Cu  0.111  0.389  0.000
Cu  0.389  0.889  0.000
Cu  0.611  0.111  0.000
Cu  0.889  0.611  0.000
Ge  0.000  0.000  0.500
Ge  0.500  0.500  0.500
Sb  0.182  0.682  0.500
Sb  0.318  0.182  0.500
Sb  0.682  0.818  0.500
Sb  0.818  0.318  0.500

=====

# 6
Entry from Alexandria: Cu3GeSb after structural relaxation (PBE).

Summary:
As for the symmetry: Pm-3m, No. 221. For the spin magnetization, the calculation gives 0.00 μB/cell. As for the calculated density: 6.72 g cm⁻³. The uncorrected formation energy comes out at 257.6 kJ/mol of formula units. The volume is 19.03 Å³/atom. For the density of states at the Fermi level, the calculation gives 2.770 states/eV/cell.

Cell: 4.565 4.565 4.565 Å, 90.00 90.00 90.00°
Fractional positions:
Cu  0.000  0.000  0.500
Cu  0.000  0.500  0.000
Cu  0.500  0.000  0.000
Ge  0.000  0.000  0.000
Sb  0.500  0.500  0.500

=====

# 7
Entry from Alexandria: CuGeSb after structural relaxation (PBE).

Summary:
As for the symmetry: F-43m, No. 216. For the spin magnetization, the calculation gives 0.00 μB/cell. As for the calculated density: 6.85 g cm⁻³. The uncorrected formation energy comes out at 30.0 kJ/mol of formula units. The volume is 20.85 Å³/atom. Its energy above the most stable polymorph in this dataset is 0 meV/atom. For the density of states at the Fermi level, the calculation gives 0.789 states/eV/cell.

Cell: 4.456 4.456 4.456 Å, 60.00 60.00 60.00°
Fractional positions:
Cu  0.000  0.000  0.000
Ge  0.750  0.750  0.750
Sb  0.250  0.250  0.250

=====

# 8
Entry from Alexandria: CuGeSb after structural relaxation (PBE).

Summary:
As for the symmetry: Fddd, No. 70. For the spin magnetization, the calculation gives 0.00 μB/cell. As for the calculated density: 6.99 g cm⁻³. The uncorrected formation energy comes out at 63.0 kJ/mol of formula units. The volume is 20.42 Å³/atom. Its energy above the most stable polymorph in this dataset is 114 meV/atom. For the density of states at the Fermi level, the calculation gives 5.661 states/eV/cell.

Cell: 8.506 7.741 6.145 Å, 74.56 61.30 44.13°
Fractional positions:
Cu  0.058  0.692  0.692
Cu  0.308  0.942  0.942
Cu  0.692  0.058  0.058
Cu  0.942  0.308  0.308
Ge  0.000  0.500  0.500
Ge  0.500  0.000  0.500
Ge  0.500  0.500  0.000
Ge  0.500  0.500  0.500
Sb  0.054  0.054  0.696
Sb  0.304  0.304  0.946
Sb  0.696  0.696  0.054
Sb  0.946  0.946  0.304

=====

# 9
Entry from Alexandria: Cu4GeSb after structural relaxation (PBE).

Summary:
As for the symmetry: F-43m, No. 216. For the spin magnetization, the calculation gives 0.00 μB/cell. As for the calculated density: 8.14 g cm⁻³. The uncorrected formation energy comes out at 70.2 kJ/mol of formula units. The volume is 15.25 Å³/atom. For the density of states at the Fermi level, the calculation gives 3.559 states/eV/cell.

Cell: 5.058 5.058 5.058 Å, 60.00 60.00 60.00°
Fractional positions:
Cu  0.125  0.125  0.125
Cu  0.125  0.125  0.626
Cu  0.125  0.626  0.125
Cu  0.626  0.125  0.125
Ge  0.750  0.750  0.750
Sb  0.500  0.500  0.500

=====

# 10
Entry from Alexandria: Cu2GeSb after structural relaxation (PBE).

Summary:
As for the symmetry: R-3m, No. 166. For the spin magnetization, the calculation gives 0.00 μB/cell. As for the calculated density: 7.48 g cm⁻³. The uncorrected formation energy comes out at 72.2 kJ/mol of formula units. The volume is 17.85 Å³/atom. Its energy above the most stable polymorph in this dataset is 35 meV/atom. For the density of states at the Fermi level, the calculation gives 1.701 states/eV/cell.

Cell: 5.718 5.718 5.718 Å, 40.59 40.59 40.59°
Fractional positions:
Cu  0.227  0.227  0.227
Cu  0.773  0.773  0.773
Ge  0.500  0.500  0.500
Sb  0.000  0.000  0.000

=====

# 11
Entry from Alexandria: Cu2GeSb2 after structural relaxation (PBE).

Summary:
As for the symmetry: I4/mmm, No. 139. For the spin magnetization, the calculation gives 0.00 μB/cell. As for the calculated density: 7.27 g cm⁻³. The uncorrected formation energy comes out at 101.1 kJ/mol of formula units. The volume is 20.24 Å³/atom. Its energy above the most stable polymorph in this dataset is 0 meV/atom. For the density of states at the Fermi level, the calculation gives 2.363 states/eV/cell.

Cell: 8.141 8.141 8.141 Å, 154.32 154.32 36.64°
Fractional positions:
Cu  0.250  0.750  0.500
Cu  0.750  0.250  0.500
Ge  0.000  0.000  0.000
Sb  0.383  0.383  0.000
Sb  0.617  0.617  0.000

=====

# 12
Entry from Alexandria: CuGe2Sb2 after structural relaxation (PBE).

Summary:
As for the symmetry: P4/mbm, No. 127. For the spin magnetization, the calculation gives 0.00 μB/cell. As for the calculated density: 6.43 g cm⁻³. The uncorrected formation energy comes out at 176.6 kJ/mol of formula units. The volume is 23.36 Å³/atom. Its energy above the most stable polymorph in this dataset is 185 meV/atom. For the density of states at the Fermi level, the calculation gives 5.678 states/eV/cell.

Cell: 7.336 7.336 4.341 Å, 90.00 90.00 90.00°
Fractional positions:
Cu  0.000  0.000  0.000
Cu  0.500  0.500  0.000
Ge  0.129  0.371  0.500
Ge  0.371  0.871  0.500
Ge  0.629  0.129  0.500
Ge  0.871  0.629  0.500
Sb  0.179  0.679  0.000
Sb  0.321  0.179  0.000
Sb  0.679  0.821  0.000
Sb  0.821  0.321  0.000